[1]
Compound: Al2AgBiC
Source: the Alexandria database
Functional: PBE
Structure: relaxed

## Properties
As for the symmetry: No. 123. The value obtained for the density of states at the Fermi level is 1.42 states/eV/f.u. The total energy is -4.175 eV/atom.

```
data_Al2AgBiC
_chemical_formula_sum 'Al2 Ag1 Bi1 C1'
_cell_length_a 4.1050
_cell_length_b 4.1050
_cell_length_c 5.3786
_cell_angle_alpha 90.00
_cell_angle_beta 90.00
_cell_angle_gamma 90.00
_space_group_name_H-M_alt 'P 1'
_space_group_IT_number 1
loop_
_space_group_symop_operation_xyz
'x,y,z'
loop_
_atom_site_label
_atom_site_fract_x
_atom_site_fract_y
_atom_site_fract_z
_atom_site_occupancy
Al1 0.0000 0.5000 0.0000 1
Al2 0.5000 0.0000 0.0000 1
Ag1 0.0000 0.0000 0.5000 1
Bi1 0.5000 0.5000 0.5000 1
C1 0.5000 0.5000 0.0000 1
```

***

[2]
Compound: SmYTe6
Source: the Alexandria database
Functional: PBE
Structure: relaxed

## Properties
As for the symmetry: No. 38. The value obtained for the density of states at the Fermi level is 2.67 states/eV/f.u. The energy relative to the elements, uncorrected comes out at -7.554 eV/f.u. The total energy is -4.698 eV/atom.

```
data_SmYTe6
_chemical_formula_sum 'Sm1 Y1 Te6'
_cell_length_a 4.3595
_cell_length_b 13.7035
_cell_length_c 13.7035
_cell_angle_alpha 18.30
_cell_angle_beta 90.00
_cell_angle_gamma 90.00
_space_group_name_H-M_alt 'P 1'
_space_group_IT_number 1
loop_
_space_group_symop_operation_xyz
'x,y,z'
loop_
_atom_site_label
_atom_site_fract_x
_atom_site_fract_y
_atom_site_fract_z
_atom_site_occupancy
Sm1 0.0000 0.0000 0.0000 1
Y1 0.5000 0.3453 0.3453 1
Te1 0.0000 0.2521 0.2521 1
Te2 0.0000 0.5943 0.5943 1
Te3 0.0000 0.8794 0.8794 1
Te4 0.5000 0.0942 0.0942 1
Te5 0.5000 0.4641 0.4641 1
Te6 0.5000 0.7520 0.7520 1
```

***

[3]
Compound: TiTe2PdI
Source: the Alexandria database
Functional: PBE
Structure: relaxed

## Properties
As for the symmetry: No. 123. The value obtained for the density of states at the Fermi level is 8.20 states/eV/f.u. The energy relative to the elements, uncorrected comes out at 2.539 eV/f.u. For the energy above the most stable polymorph in this dataset, the calculation gives 0.282 eV/atom. The total energy is -3.676 eV/atom.

```
data_TiTe2PdI
_chemical_formula_sum 'Ti1 Te2 Pd1 I1'
_cell_length_a 5.3040
_cell_length_b 5.3040
_cell_length_c 5.3456
_cell_angle_alpha 90.00
_cell_angle_beta 90.00
_cell_angle_gamma 90.00
_space_group_name_H-M_alt 'P 1'
_space_group_IT_number 1
loop_
_space_group_symop_operation_xyz
'x,y,z'
loop_
_atom_site_label
_atom_site_fract_x
_atom_site_fract_y
_atom_site_fract_z
_atom_site_occupancy
Ti1 0.0000 0.0000 0.0000 1
Te1 0.0000 0.5000 0.5000 1
Te2 0.5000 0.0000 0.5000 1
Pd1 0.5000 0.5000 0.5000 1
I1 0.5000 0.5000 0.0000 1
```

***

[4]
Compound: SrLi2Cd4In
Source: the Alexandria database
Functional: PBE
Structure: relaxed

## Properties
As for the symmetry: No. 166. The value obtained for the density of states at the Fermi level is 4.18 states/eV/f.u. The total energy is -1.696 eV/atom.

```
data_SrLi2Cd4In
_chemical_formula_sum 'Sr1 Li2 Cd4 In1'
_cell_length_a 10.5802
_cell_length_b 10.5802
_cell_length_c 10.5802
_cell_angle_alpha 26.03
_cell_angle_beta 26.03
_cell_angle_gamma 26.03
_space_group_name_H-M_alt 'P 1'
_space_group_IT_number 1
loop_
_space_group_symop_operation_xyz
'x,y,z'
loop_
_atom_site_label
_atom_site_fract_x
_atom_site_fract_y
_atom_site_fract_z
_atom_site_occupancy
Sr1 0.0000 0.0000 0.0000 1
Li1 0.2290 0.2290 0.2290 1
Li2 0.7710 0.7710 0.7710 1
Cd1 0.1196 0.1196 0.1196 1
Cd2 0.4008 0.4008 0.4008 1
Cd3 0.5992 0.5992 0.5992 1
Cd4 0.8804 0.8804 0.8804 1
In1 0.5000 0.5000 0.5000 1
```

***

[5]
Compound: CsIn2As2
Source: the Alexandria database
Functional: PBE
Structure: relaxed

## Properties
As for the symmetry: No. 2. The value obtained for the density of states at the Fermi level is 1.51 states/eV/f.u. For the energy above the most stable polymorph in this dataset, the calculation gives 0.038 eV/atom. The total energy is -3.407 eV/atom.

```
data_CsIn2As2
_chemical_formula_sum 'Cs2 In4 As4'
_cell_length_a 7.3459
_cell_length_b 7.5275
_cell_length_c 7.7077
_cell_angle_alpha 105.15
_cell_angle_beta 107.25
_cell_angle_gamma 112.29
_space_group_name_H-M_alt 'P 1'
_space_group_IT_number 1
loop_
_space_group_symop_operation_xyz
'x,y,z'
loop_
_atom_site_label
_atom_site_fract_x
_atom_site_fract_y
_atom_site_fract_z
_atom_site_occupancy
Cs1 0.1495 0.2439 0.3998 1
Cs2 0.8505 0.7561 0.6002 1
In1 0.2287 0.4759 0.9814 1
In2 0.4748 0.9774 0.7290 1
In3 0.5252 0.0226 0.2710 1
In4 0.7713 0.5241 0.0186 1
As1 0.1946 0.7115 0.3094 1
As2 0.4182 0.2265 0.0335 1
As3 0.5818 0.7735 0.9665 1
As4 0.8054 0.2885 0.6906 1
```

***

[6]
Compound: AgPd2WI
Source: the Alexandria database
Functional: PBE
Structure: relaxed

## Properties
As for the symmetry: No. 123. The value obtained for the density of states at the Fermi level is 4.51 states/eV/f.u. The energy relative to the elements, uncorrected comes out at 5.693 eV/f.u. The total energy is -4.409 eV/atom.

```
data_AgPd2WI
_chemical_formula_sum 'Ag1 Pd2 W1 I1'
_cell_length_a 4.9599
_cell_length_b 4.9599
_cell_length_c 5.1532
_cell_angle_alpha 90.00
_cell_angle_beta 90.00
_cell_angle_gamma 90.00
_space_group_name_H-M_alt 'P 1'
_space_group_IT_number 1
loop_
_space_group_symop_operation_xyz
'x,y,z'
loop_
_atom_site_label
_atom_site_fract_x
_atom_site_fract_y
_atom_site_fract_z
_atom_site_occupancy
Ag1 0.0000 0.0000 0.0000 1
Pd1 0.0000 0.5000 0.5000 1
Pd2 0.5000 0.0000 0.5000 1
W1 0.5000 0.5000 0.5000 1
I1 0.5000 0.5000 0.0000 1
```

***

[7]
Compound: TiCdPdRh
Source: the Alexandria database
Functional: PBE
Structure: relaxed

## Properties
As for the symmetry: No. 99. The value obtained for the density of states at the Fermi level is 1.81 states/eV/f.u. The total energy is -5.906 eV/atom.

```
data_TiCdPdRh
_chemical_formula_sum 'Ti1 Cd1 Pd1 Rh1'
_cell_length_a 3.1017
_cell_length_b 3.1017
_cell_length_c 6.8389
_cell_angle_alpha 90.00
_cell_angle_beta 90.00
_cell_angle_gamma 90.00
_space_group_name_H-M_alt 'P 1'
_space_group_IT_number 1
loop_
_space_group_symop_operation_xyz
'x,y,z'
loop_
_atom_site_label
_atom_site_fract_x
_atom_site_fract_y
_atom_site_fract_z
_atom_site_occupancy
Ti1 0.0000 0.0000 0.0000 1
Cd1 0.0000 0.0000 0.4842 1
Pd1 0.5000 0.5000 0.7630 1
Rh1 0.5000 0.5000 0.1972 1
```

***

[8]
Compound: Sr2TaAl
Source: the Alexandria database
Functional: PBE
Structure: relaxed

## Properties
As for the symmetry: No. 123. The value obtained for the density of states at the Fermi level is 5.68 states/eV/f.u. The total energy is -4.092 eV/atom.

```
data_Sr2TaAl
_chemical_formula_sum 'Sr2 Ta1 Al1'
_cell_length_a 3.2295
_cell_length_b 3.2295
_cell_length_c 10.3585
_cell_angle_alpha 90.00
_cell_angle_beta 90.00
_cell_angle_gamma 90.00
_space_group_name_H-M_alt 'P 1'
_space_group_IT_number 1
loop_
_space_group_symop_operation_xyz
'x,y,z'
loop_
_atom_site_label
_atom_site_fract_x
_atom_site_fract_y
_atom_site_fract_z
_atom_site_occupancy
Sr1 0.0000 0.0000 0.2442 1
Sr2 0.0000 0.0000 0.7558 1
Ta1 0.5000 0.5000 0.5000 1
Al1 0.5000 0.5000 0.0000 1
```